VASP calculation (GGA-PBE) on a relaxed Sc5P3 crystal.

The space group is P-1 (No. 2) and the conventional cell measures 6.0450, 7.2337 and 7.6996 Å, with angles of 84.19, 67.05 and 74.99 degrees. The distinct sites, in fractional coordinates, are Sc at (0.0108, 0.2002, 0.1229), Sc at (0.1636, 0.3698, 0.7145), Sc at (0.2582, 0.9911, 0.5001), Sc at (0.3674, 0.7992, 0.1221), Sc at (0.3799, 0.3703, 0.2859), P at (0.0896, 0.6949, 0.5013), P at (0.2551, 0.5000, 0.9907) and P at (0.3428, 0.9997, 0.8143).

The calculation puts the distance to the lowest polymorph of the same formula at 122 meV/atom. The calculation puts the density of states at the Fermi level at 15.5 states/eV/cell. For the energy of formation, the calculation gives -1.082 eV per atom.


VASP calculation (GGA-PBE) on a relaxed SnBiSb crystal.

The space group is I4mm (No. 107) and the conventional cell measures 3.1999, 3.1999 and 18.3855 Å, with angles of 90.00, 90.00 and 90.00 degrees. The distinct sites, in fractional coordinates, are Sn at (0.0000, 0.0000, 0.0000), Bi at (0.0000, 0.0000, 0.8222) and Sb at (0.0000, 0.0000, 0.6543).

The calculation puts the distance to the lowest polymorph of the same formula at 86 meV/atom. The calculation puts the density of states at the Fermi level at 3.9 states/eV/cell. Its uncorrected formation energy is 0.40 eV per formula unit.


VASP calculation (GGA-PBE) on a relaxed Pm7SmEr2 crystal.

The space group is Cmmm (No. 65) and the conventional cell measures 8.8781, 16.2252 and 5.7009 Å, with angles of 90.00, 90.00 and 90.00 degrees. The distinct sites, in fractional coordinates, are Pm at (0.0000, 0.0000, 0.0000), Pm at (0.0000, 0.2765, 0.5000), Pm at (0.1789, 0.3849, 0.0000), Sm at (0.0000, 0.5000, 0.5000) and Er at (0.0000, 0.2046, 0.0000).

The calculation puts the density of states at the Fermi level at 29.6 states/eV/cell. For the energy of formation, the calculation gives 0.651 eV per atom.


VASP calculation (GGA-PBE) on a relaxed Dy2Tm6Ru crystal.

The space group is P2/m (No. 10) and the conventional cell measures 8.5314, 3.6104 and 8.6014 Å, with angles of 90.00, 93.60 and 90.00 degrees. The distinct sites, in fractional coordinates, are Dy at (0.2012, 0.0000, 0.0323), Tm at (0.0555, 0.5000, 0.7166), Tm at (0.2664, 0.0000, 0.4480), Tm at (0.4606, 0.5000, 0.7998) and Ru at (0.5000, 0.5000, 0.5000).

The calculation puts the density of states at the Fermi level at 12.0 states/eV/cell. For the energy of formation, the calculation gives -0.074 eV per atom.


VASP calculation (GGA-PBE) on a relaxed PrHoTmTl crystal.

The space group is F-43m (No. 216) and the conventional cell measures 7.8009, 7.8009 and 7.8009 Å, with angles of 90.00, 90.00 and 90.00 degrees. The distinct sites, in fractional coordinates, are Pr at (0.0000, 0.0000, 0.0000), Ho at (0.0000, 0.0000, 0.5000), Tm at (0.2500, 0.2500, 0.7500) and Tl at (0.2500, 0.2500, 0.2500).

The calculation puts the distance to the lowest polymorph of the same formula at 125 meV/atom. The calculation puts the density of states at the Fermi level at 23.0 states/eV/cell. For the energy of formation, the calculation gives -0.049 eV per atom.


VASP calculation (GGA-PBE) on a relaxed ThAl3 crystal.

The space group is P6_3/mmc (No. 194) and the conventional cell measures 6.5192, 6.5192 and 4.6339 Å, with angles of 90.00, 90.00 and 120.00 degrees. The distinct sites, in fractional coordinates, are Th at (0.3333, 0.6667, 0.2500) and Al at (0.1406, 0.2812, 0.7500).

The calculation puts the density of states at the Fermi level at 3.3 states/eV/cell. For the energy of formation, the calculation gives -0.405 eV per atom.


VASP calculation (GGA-PBE) on a relaxed Tb2ScGa3Pd4 crystal.

The space group is P-4m2 (No. 115) and the conventional cell measures 4.0974, 4.0974 and 11.5219 Å, with angles of 90.00, 90.00 and 90.00 degrees. The distinct sites, in fractional coordinates, are Tb at (0.0000, 0.5000, 0.2364), Sc at (0.0000, 0.0000, 0.5000), Ga at (0.0000, 0.5000, 0.8695), Ga at (0.5000, 0.5000, 0.5000), Pd at (0.0000, 0.0000, 0.0000), Pd at (0.0000, 0.5000, 0.6528) and Pd at (0.5000, 0.5000, 0.0000).

The calculation puts the density of states at the Fermi level at 6.3 states/eV/cell. For the energy of formation, the calculation gives -0.810 eV per atom.


VASP calculation (GGA-PBE) on a relaxed Cu2SbPd7 crystal.

The space group is Cmmm (No. 65) and the conventional cell measures 7.2907, 12.3442 and 4.3161 Å, with angles of 90.00, 90.00 and 90.00 degrees. The distinct sites, in fractional coordinates, are Cu at (0.0000, 0.1982, 0.0000), Sb at (0.0000, 0.5000, 0.5000), Pd at (0.0000, 0.0000, 0.0000), Pd at (0.0000, 0.2904, 0.5000) and Pd at (0.1856, 0.3867, 0.0000).

The calculation puts the density of states at the Fermi level at 21.0 states/eV/cell. Its uncorrected formation energy is 2.85 eV per formula unit.


no.,energy (eV per cell)
1,-113.09
2,-23.21
3,-81.18
4,-45.98
5,-65.56
6,-40.53
7,-53.54
8,-91.63